TaFe2Mo after structural relaxation. Source: Alexandria via LeMat-Bulk, functional GGA-PBE.

The energy relative to the elements comes out at 37 meV/atom. The electronic total energy comes out at -9.87 eV per atom. The symmetry is No. 71.

Lattice parameters (Å, degrees): 4.9601 4.9601 4.9601 142.61 128.74 65.14
With the nearest neighbours (Å) after each atom.
Fractional coordinates of all 4 atoms:
1 Ta 0.0000 0.0000 0.0000  4 Fe 2.65, 4 Mo 2.67
2 Fe 0.2532 0.7532 0.5000  2 Mo 2.60, 2 Ta 2.65, 4 Fe 2.67
3 Fe 0.7468 0.2468 0.5000  2 Mo 2.60, 2 Ta 2.65, 4 Fe 2.67
4 Mo 0.5000 0.5000 0.0000  4 Fe 2.60, 4 Ta 2.67

TaFeMo3 after structural relaxation. Source: Alexandria via LeMat-Bulk, functional GGA-PBE.

The energy relative to the elements comes out at 1007 meV/atom. The electronic total energy comes out at -9.55 eV per atom. The symmetry is No. 221.

Lattice parameters (Å, degrees): 4.4398 4.4398 4.4398 90.00 90.00 90.00
With the nearest neighbours (Å) after each atom.
Fractional coordinates of all 5 atoms:
1 Ta 0.0000 0.0000 0.0000  12 Mo 3.14
2 Fe 0.5000 0.5000 0.5000  6 Mo 2.22
3 Mo 0.0000 0.5000 0.5000  2 Fe 2.22
4 Mo 0.5000 0.0000 0.5000  2 Fe 2.22
5 Mo 0.5000 0.5000 0.0000  2 Fe 2.22

TaFeMo after structural relaxation. Source: Alexandria via LeMat-Bulk, functional GGA-PBE.

The energy relative to the elements comes out at 42 meV/atom. The electronic total energy comes out at -10.34 eV per atom. The symmetry is No. 107.

Lattice parameters (Å, degrees): 5.0866 5.0866 5.0866 143.82 143.82 52.10
With the nearest neighbours (Å) after each atom.
Fractional coordinates of all 3 atoms:
1 Ta 0.0000 0.0000 0.0000  4 Fe 2.69, 5 Mo 2.77-2.94
2 Fe 0.3350 0.3350 0.0000  4 Mo 2.65, 4 Ta 2.69
3 Mo 0.6784 0.6784 0.0000  4 Fe 2.65, 5 Ta 2.77-2.94

Ta5FeMo4 after structural relaxation. Source: Alexandria via LeMat-Bulk, functional GGA-PBE.

The energy relative to the elements comes out at -184 meV/atom. The electronic total energy comes out at -11.29 eV per atom. The symmetry is No. 123.

Lattice parameters (Å, degrees): 3.2097 3.2097 15.9634 90.00 90.00 90.00
With the nearest neighbours (Å) after each atom.
Fractional coordinates of all 10 atoms:
1 Ta 0.0000 0.0000 0.0000  8 Mo 2.79
2 Ta 0.0000 0.0000 0.2042  8 Mo 2.79-2.80
3 Ta 0.0000 0.0000 0.4056  4 Fe 2.72, 4 Mo 2.77, 1 Ta 3.01
4 Ta 0.0000 0.0000 0.5944  4 Fe 2.72, 4 Mo 2.77, 1 Ta 3.01
5 Ta 0.0000 0.0000 0.7958  8 Mo 2.79-2.80
6 Fe 0.5000 0.5000 0.5000  8 Ta 2.72
7 Mo 0.5000 0.5000 0.1018  8 Ta 2.79-2.80
8 Mo 0.5000 0.5000 0.3061  8 Ta 2.77-2.79, 1 Fe 3.10
9 Mo 0.5000 0.5000 0.6939  8 Ta 2.77-2.79, 1 Fe 3.10
10 Mo 0.5000 0.5000 0.8982  8 Ta 2.79-2.80